Material: TlBiBr4
Method: DFT, PBE
State: optimized geometry

Structure (POSCAR):
```
TlBiBr4
1.0
13.620 0.000 0.000
0.000 4.357 0.000
-1.873 0.000 8.305
Tl Bi Br
2 2 8
direct
0.000 0.000 0.000
0.500 0.500 0.000
0.000 0.500 0.500
0.500 0.000 0.500
0.123 0.000 0.411
0.123 0.500 0.818
0.377 0.000 0.182
0.377 0.500 0.589
0.623 0.000 0.818
0.623 0.500 0.411
0.877 0.000 0.589
0.877 0.500 0.182
```

## Properties
ΔE_f (raw) (eV/atom): -0.764
Crystal system: monoclinic